Entry 1:
A relaxed structure of In8MoW2. Source: OQMD, functional PBE.

```
In8MoW2
1.0
-4.192 -2.924 -1.899
-1.430 -5.256 -0.244
-3.960 2.512 10.142
In W Mo
8 2 1
Direct
0.274 0.274 0.910 In
0.629 0.629 0.461 In
0.371 0.371 0.539 In
0.726 0.726 0.090 In
0.186 0.186 0.281 In
0.541 0.541 0.823 In
0.814 0.814 0.719 In
0.459 0.459 0.177 In
0.093 0.093 0.657 W
0.907 0.907 0.343 W
0.000 0.000 0.000 Mo
```

Calculated density ... 10.34 g/cm³
Uncorrected energy ... -53.31 eV for the cell shown

---

Entry 2:
A relaxed structure of HfIrAu2. Source: OQMD, functional PBE.

```
HfIrAu2
1.0
0.000 3.273 3.273
3.273 0.000 3.273
3.273 3.273 0.000
Au Hf Ir
2 1 1
Direct
0.750 0.750 0.750 Au
0.000 0.000 0.000 Au
0.500 0.500 0.500 Hf
0.250 0.250 0.250 Ir
```

Calculated density ... 18.11 g/cm³
E_form ... -340.7 meV/atom

---

Entry 3:
A relaxed structure of CdTcPO. Source: OQMD, functional PBE.

```
CdTcPO
1.0
3.935 0.000 0.000
0.000 3.935 0.000
0.000 0.000 8.193
O Tc P Cd
2 2 2 2
Direct
0.750 0.250 0.000 O
0.250 0.750 0.000 O
0.750 0.750 0.893 Tc
0.250 0.250 0.107 Tc
0.750 0.750 0.269 P
0.250 0.250 0.731 P
0.750 0.250 0.500 Cd
0.250 0.750 0.500 Cd
```

Calculated density ... 6.74 g/cm³
E above lowest polymorph ... 74.4 kJ/mol of atoms

---

Entry 4:
A relaxed structure of Tb3Mg3Ir2Pt. Source: OQMD, functional PBE.

```
Tb3Mg3Ir2Pt
1.0
-3.638 0.836 6.314
-1.562 -5.647 -4.412
2.778 -2.252 1.899
Mg Ir Tb Pt
3 2 3 1
Direct
0.752 0.752 0.000 Mg
0.248 0.000 0.000 Mg
0.000 0.248 0.000 Mg
0.333 0.667 0.000 Ir
0.667 0.333 0.000 Ir
0.587 0.000 0.500 Tb
0.000 0.587 0.500 Tb
0.413 0.413 0.500 Tb
0.000 0.000 0.500 Pt
```

Calculated density ... 9.94 g/cm³
Uncorrected energy ... -49.32 eV for the cell shown

---

Q: The highest calculated density belongs to which entry?
A: HfIrAu2